No. 1
Computed, not measured: CaLa6Mg5 after structural relaxation at the PBE level of DFT.

Structure (POSCAR):
```
CaLa6Mg5
1.0
2.834 -8.524 0.000
2.834 8.524 0.000
0.000 0.000 8.018
Ca La Mg
1 6 5
direct
0.000 0.000 0.000
0.171 0.829 0.258
0.171 0.829 0.742
0.500 0.500 0.265
0.500 0.500 0.735
0.829 0.171 0.258
0.829 0.171 0.742
0.000 0.000 0.500
0.334 0.666 0.500
0.338 0.662 0.000
0.662 0.338 0.000
0.666 0.334 0.500
```

- ΔH_f (0 K): -0.074 eV per atom
- Electronic total energy: -40.43 eV/cell
- Space-group type: Cmmm (65)



No. 2
Computed, not measured: Ca2LaMg3 after structural relaxation at the PBE level of DFT.

Structure (POSCAR):
```
Ca2LaMg3
1.0
3.927 0.000 0.000
0.000 3.927 0.000
0.000 0.000 12.132
Ca La Mg
2 1 3
direct
0.000 0.000 0.166
0.000 0.000 0.834
0.000 0.000 0.500
0.500 0.500 0.000
0.500 0.500 0.331
0.500 0.500 0.669
```

- ΔH_f (0 K): -0.087 eV per atom
- Electronic total energy: -14.24 eV/cell
- Space-group type: P4/mmm (123)



No. 3
Computed, not measured: CaLaMg2 after structural relaxation at the PBE level of DFT.

Structure (POSCAR):
```
CaLaMg2
1.0
0.000 3.917 3.917
3.917 0.000 3.917
3.917 3.917 0.000
Ca La Mg
1 1 2
direct
0.000 0.000 0.000
0.250 0.250 0.250
0.500 0.500 0.500
0.750 0.750 0.750
```

- ΔE to the lowest computed polymorph: 124.2 meV/atom
- ΔH_f (0 K): 0.012 eV per atom
- Electronic total energy: -10.07 eV/cell
- Space-group type: F-43m (216)



No. 4
Computed, not measured: Ca2LaMg after structural relaxation at the PBE level of DFT.

Structure (POSCAR):
```
Ca2LaMg
1.0
-2.917 2.917 4.118
2.917 -2.917 4.118
2.917 2.917 -4.118
Ca La Mg
2 1 1
direct
0.000 0.000 0.000
0.750 0.250 0.500
0.250 0.750 0.500
0.500 0.500 0.000
```

- ΔH_f (0 K): 0.029 eV per atom
- Electronic total energy: -10.41 eV/cell
- Space-group type: I-4m2 (119)



No. 5
Computed, not measured: CaLa3Mg after structural relaxation at the PBE level of DFT.

Structure (POSCAR):
```
CaLa3Mg
1.0
5.885 0.000 0.000
0.000 5.885 0.000
0.000 0.000 5.885
Ca La Mg
1 3 1
direct
0.000 0.000 0.000
0.000 0.000 0.500
0.000 0.500 0.000
0.500 0.000 0.000
0.500 0.500 0.500
```

- ΔE to the lowest computed polymorph: 767.6 meV/atom
- ΔH_f (0 K): 0.765 eV per atom
- Electronic total energy: -14.56 eV/cell
- Space-group type: Pm-3m (221)



No. 6
Computed, not measured: Ca2LaMg after structural relaxation at the PBE level of DFT.

Structure (POSCAR):
```
Ca2LaMg
1.0
1.877 1.084 11.813
-1.877 1.084 11.813
0.000 -2.168 11.813
Ca La Mg
2 1 1
direct
0.000 0.000 0.000
0.180 0.180 0.180
0.423 0.423 0.423
0.590 0.590 0.590
```

- ΔH_f (0 K): 0.063 eV per atom
- Electronic total energy: -10.27 eV/cell
- Space-group type: R3m (160)



No. 7
Computed, not measured: CaLa2Mg6 after structural relaxation at the PBE level of DFT.

Structure (POSCAR):
```
CaLa2Mg6
1.0
9.263 0.000 0.000
-4.631 8.022 0.000
0.000 0.000 3.472
Ca La Mg
1 2 6
direct
0.000 0.000 0.000
0.333 0.667 0.000
0.667 0.333 0.000
0.000 0.333 0.500
0.000 0.667 0.500
0.333 0.000 0.500
0.333 0.333 0.500
0.667 0.000 0.500
0.667 0.667 0.500
```

- ΔH_f (0 K): -0.090 eV per atom
- Electronic total energy: -22.23 eV/cell
- Space-group type: P6/mmm (191)



No. 8
Computed, not measured: CaLaMg2 after structural relaxation at the PBE level of DFT.

Structure (POSCAR):
```
CaLaMg2
1.0
-4.455 4.455 3.353
4.455 -4.455 3.353
4.455 4.455 -3.353
Ca La Mg
2 2 4
direct
0.000 0.000 0.000
0.750 0.250 0.500
0.250 0.750 0.500
0.500 0.500 0.000
0.118 0.625 0.993
0.375 0.368 0.493
0.632 0.125 0.007
0.875 0.882 0.507
```

- ΔE to the lowest computed polymorph: 395.1 meV/atom
- ΔH_f (0 K): 0.283 eV per atom
- Electronic total energy: -17.97 eV/cell
- Space-group type: I-42d (122)